Record 1
# Ta2PtPbF

A relaxed structure of Ta2PtPbF (GGA-PBE, Alexandria via LeMat-Bulk).

```
Ta2PtPbF
1.0
5.057 0.000 0.000
0.000 4.166 0.000
0.000 0.000 5.057
Pt Ta F Pb
1 2 1 1
Direct
0.000 0.000 0.000
0.000 0.000 0.500
0.500 0.000 0.000
0.000 0.500 0.000
0.500 0.500 0.500
```

The total energy is -6.3984 eV per atom. As for the total magnetic moment: 0.000 μB/f.u.

Record 2
# Pu3PbF

A relaxed structure of Pu3PbF (GGA-PBE, Alexandria via LeMat-Bulk).

```
Pu3PbF
1.0
5.017 0.000 0.000
0.000 5.017 0.000
0.000 0.000 5.017
Pb Pu F
1 3 1
Direct
0.500 0.500 0.500
0.000 0.000 0.500
0.000 0.500 0.000
0.500 0.000 0.000
0.000 0.000 0.000
```

The total energy is -10.5203 eV per atom. As for the total magnetic moment: 18.938 μB/f.u.

Record 3
# PuPbF5

A relaxed structure of PuPbF5 (GGA-PBE, Alexandria via LeMat-Bulk).

```
PuPbF5
1.0
6.000 0.231 1.867
0.853 5.944 1.867
-0.052 -0.047 8.348
Pb F Pu
2 10 2
Direct
0.000 0.000 0.000
0.000 0.000 0.500
0.284 0.235 0.856
0.158 0.842 0.250
0.235 0.284 0.356
0.662 0.324 0.464
0.324 0.662 0.964
0.676 0.338 0.036
0.842 0.158 0.750
0.338 0.676 0.536
0.765 0.716 0.644
0.716 0.765 0.144
0.466 0.534 0.250
0.534 0.466 0.750
```

The total energy is -6.9363 eV per atom. As for the total magnetic moment: 5.000 μB/f.u.

Record 4
# PuPbF

A relaxed structure of PuPbF (GGA-PBE, Alexandria via LeMat-Bulk).

```
PuPbF
1.0
-1.504 1.627 3.338
-2.325 -0.454 -3.231
-1.447 -4.881 1.728
Pb Pu F
1 1 1
Direct
0.000 0.000 0.999
0.667 0.333 0.494
0.333 0.667 0.508
```

The total energy is -8.1261 eV per atom. For the excess energy over the best structure of this formula in the dataset, the calculation gives 0 meV/atom. As for the total magnetic moment: 5.250 μB/f.u.

Record 5
# PuPbF

A relaxed structure of PuPbF (GGA-PBE, Alexandria via LeMat-Bulk).

```
PuPbF
1.0
-1.912 -2.174 1.727
1.672 -2.576 -1.392
4.221 2.499 4.529
Pu F Pb
1 1 1
Direct
0.718 0.718 0.436
0.280 0.280 0.561
0.002 0.002 0.004
```

The total energy is -8.0033 eV per atom. For the excess energy over the best structure of this formula in the dataset, the calculation gives 123 meV/atom. As for the total magnetic moment: 5.834 μB/f.u.

Record 6
# Pu2PbF8

A relaxed structure of Pu2PbF8 (GGA-PBE, Alexandria via LeMat-Bulk).

```
Pu2PbF8
1.0
3.790 0.000 -1.063
-0.514 5.542 -1.833
0.188 -0.768 7.957
F Pu Pb
8 2 1
Direct
0.681 0.403 0.361
0.319 0.597 0.639
0.788 0.898 0.576
0.212 0.102 0.424
0.040 0.292 0.081
0.602 0.745 0.205
0.398 0.255 0.795
0.960 0.708 0.919
0.822 0.328 0.645
0.178 0.672 0.355
0.500 0.000 0.000
```

The total energy is -7.5605 eV per atom. For the excess energy over the best structure of this formula in the dataset, the calculation gives 0 meV/atom. As for the total magnetic moment: 10.000 μB/f.u.

Record 7
# Pu2PbF8

A relaxed structure of Pu2PbF8 (GGA-PBE, Alexandria via LeMat-Bulk).

```
Pu2PbF8
1.0
-5.259 0.638 -0.925
1.055 1.348 7.010
2.029 5.436 4.289
F Pu Pb
8 2 1
Direct
0.139 0.821 0.821
0.215 0.456 0.456
0.861 0.179 0.179
0.680 0.598 0.089
0.785 0.544 0.544
0.320 0.402 0.911
0.680 0.089 0.598
0.320 0.911 0.402
0.304 0.306 0.306
0.696 0.694 0.694
0.000 0.000 0.000
```

The total energy is -7.4651 eV per atom. For the excess energy over the best structure of this formula in the dataset, the calculation gives 95 meV/atom. As for the total magnetic moment: 10.000 μB/f.u.

Record 8
# Pu2PbF11

A relaxed structure of Pu2PbF11 (GGA-PBE, Alexandria via LeMat-Bulk).

```
Pu2PbF11
1.0
-6.083 -2.631 -5.582
-4.953 -7.116 2.026
-8.420 2.629 1.212
F Pb Pu
22 2 4
Direct
0.718 0.669 0.063
0.950 0.831 0.437
0.862 0.939 0.805
0.550 0.063 0.669
0.394 0.805 0.939
0.000 0.000 0.000
0.500 0.500 0.500
0.782 0.437 0.831
0.357 0.714 0.286
0.643 0.286 0.714
0.894 0.439 0.305
0.450 0.937 0.331
0.218 0.563 0.169
0.106 0.561 0.695
0.857 0.786 0.214
0.138 0.061 0.195
0.050 0.169 0.563
0.362 0.305 0.439
0.143 0.214 0.786
0.282 0.331 0.937
0.638 0.695 0.561
0.606 0.195 0.061
0.250 0.250 0.250
0.750 0.750 0.750
0.153 0.823 0.177
0.653 0.677 0.323
0.347 0.323 0.677
0.847 0.177 0.823
```

The total energy is -6.8922 eV per atom. As for the total magnetic moment: 7.000 μB/f.u.

Record 9
# PuPbF4

A relaxed structure of PuPbF4 (GGA-PBE, Alexandria via LeMat-Bulk).

```
PuPbF4
1.0
4.599 -0.463 0.000
-2.960 7.719 0.000
0.000 0.000 7.127
Pb F Pu
2 8 2
Direct
0.998 0.051 0.750
0.002 0.949 0.250
0.956 0.337 0.567
0.044 0.663 0.433
0.576 0.074 0.250
0.956 0.337 0.933
0.424 0.926 0.750
0.353 0.341 0.250
0.647 0.659 0.750
0.044 0.663 0.067
0.107 0.605 0.750
0.893 0.395 0.250
```

The total energy is -7.0973 eV per atom. As for the total magnetic moment: 5.247 μB/f.u.

Record 10
# RbPuPbF6

A relaxed structure of RbPuPbF6 (GGA-PBE, Alexandria via LeMat-Bulk).

```
RbPuPbF6
1.0
-1.925 -1.899 6.579
-2.595 -8.109 -3.099
7.793 2.852 -0.742
F Rb Pb Pu
12 2 2 2
Direct
0.108 0.858 0.216
0.154 0.371 0.738
0.892 0.142 0.784
0.584 0.371 0.738
0.846 0.629 0.262
0.508 0.258 0.016
0.846 0.133 0.262
0.416 0.133 0.262
0.416 0.629 0.262
0.492 0.742 0.984
0.584 0.867 0.738
0.154 0.867 0.738
0.881 0.631 0.763
0.119 0.369 0.237
0.000 0.000 0.500
0.500 0.000 0.500
0.500 0.500 0.000
0.500 0.000 0.000
```

The total energy is -6.2808 eV per atom. As for the total magnetic moment: 4.748 μB/f.u.

Record 11
# Rb4PbF5

A relaxed structure of Rb4PbF5 (GGA-PBE, Alexandria via LeMat-Bulk).

```
Rb4PbF5
1.0
-0.550 -6.146 0.020
4.958 -3.552 -3.365
3.088 -3.357 5.265
Rb Pb F
4 1 5
Direct
0.795 0.801 0.610
0.405 0.390 0.801
0.597 0.610 0.199
0.207 0.199 0.390
0.001 0.000 0.000
0.284 0.809 0.626
0.093 0.626 0.191
0.500 0.000 0.000
0.909 0.374 0.809
0.719 0.191 0.374
```

The total energy is -4.0031 eV per atom. As for the total magnetic moment: 0.000 μB/f.u.

Record 12
# Rb6PbF12

A relaxed structure of Rb6PbF12 (GGA-PBE, Alexandria via LeMat-Bulk).

```
Rb6PbF12
1.0
7.722 -0.422 -0.875
-0.931 7.677 -0.875
-0.395 -0.422 7.761
F Rb Pb
12 6 1
Direct
0.535 0.859 0.423
0.141 0.577 0.465
0.056 0.271 0.984
0.729 0.016 0.944
0.859 0.423 0.535
0.944 0.729 0.016
0.271 0.984 0.056
0.423 0.535 0.859
0.016 0.944 0.729
0.577 0.465 0.141
0.465 0.141 0.577
0.984 0.056 0.271
0.160 0.278 0.611
0.611 0.160 0.278
0.840 0.722 0.389
0.389 0.840 0.722
0.278 0.611 0.160
0.722 0.389 0.840
0.000 0.000 0.000
```

The total energy is -3.9710 eV per atom. As for the total magnetic moment: 2.000 μB/f.u.

Record 13
# Rb3Pb4F12

A relaxed structure of Rb3Pb4F12 (GGA-PBE, Alexandria via LeMat-Bulk).

```
Rb3Pb4F12
1.0
-6.302 0.057 5.240
2.535 -7.710 -1.141
6.146 4.470 3.069
F Pb Rb
12 4 3
Direct
0.707 0.936 0.229
0.771 0.293 0.064
0.771 0.707 0.478
0.522 0.229 0.293
0.293 0.522 0.229
0.707 0.478 0.771
0.293 0.064 0.771
0.064 0.771 0.293
0.478 0.771 0.707
0.936 0.229 0.707
0.229 0.707 0.936
0.229 0.293 0.522
0.000 0.500 0.000
0.500 0.500 0.500
0.500 0.000 0.000
0.000 0.000 0.500
0.500 0.500 0.000
0.000 0.500 0.500
0.500 0.000 0.500
```

The total energy is -4.5711 eV per atom. As for the total magnetic moment: 0.000 μB/f.u.

Record 14
# Rb6PbF8

A relaxed structure of Rb6PbF8 (GGA-PBE, Alexandria via LeMat-Bulk).

```
Rb6PbF8
1.0
7.011 0.276 2.503
1.853 6.767 2.503
0.348 0.276 7.436
F Rb Pb
8 6 1
Direct
0.834 0.322 0.097
0.664 0.664 0.664
0.678 0.903 0.166
0.322 0.097 0.834
0.903 0.166 0.678
0.336 0.336 0.336
0.097 0.834 0.322
0.166 0.678 0.903
0.936 0.502 0.307
0.064 0.498 0.693
0.502 0.307 0.936
0.307 0.936 0.502
0.498 0.693 0.064
0.693 0.064 0.498
0.000 0.000 0.000
```

The total energy is -4.2107 eV per atom. As for the total magnetic moment: 0.000 μB/f.u.

Record 15
# RbPbF

A relaxed structure of RbPbF (GGA-PBE, Alexandria via LeMat-Bulk).

```
RbPbF
1.0
-2.859 -0.284 2.850
-1.963 -4.010 3.387
12.998 3.411 1.885
Rb Pb F
2 2 2
Direct
0.958 0.575 0.851
0.421 0.075 0.582
0.527 0.075 0.136
0.852 0.575 0.298
0.946 0.075 0.845
0.433 0.575 0.588
```

The total energy is -3.7977 eV per atom. As for the total magnetic moment: 0.000 μB/f.u.

Record 16
# Rb3PbF8

A relaxed structure of Rb3PbF8 (GGA-PBE, Alexandria via LeMat-Bulk).

```
Rb3PbF8
1.0
-6.316 0.712 -3.822
3.399 -4.506 -6.455
-4.247 -4.025 6.268
F Pb Rb
16 2 6
Direct
0.931 0.000 0.000
0.522 0.938 0.469
0.522 0.531 0.469
0.785 0.786 0.214
0.431 0.000 0.000
0.285 0.214 0.428
0.285 0.214 0.786
0.022 0.469 0.531
0.785 0.428 0.214
0.522 0.531 0.062
0.022 0.062 0.531
0.785 0.786 0.572
0.022 0.469 0.938
0.285 0.572 0.786
0.314 0.667 0.333
0.814 0.333 0.667
0.122 0.333 0.667
0.622 0.667 0.333
0.661 0.161 0.323
0.161 0.839 0.161
0.161 0.839 0.677
0.161 0.323 0.161
0.661 0.161 0.839
0.661 0.677 0.839
```

The total energy is -4.0283 eV per atom. As for the total magnetic moment: 1.102 μB/f.u.

Record 17
# Rb3Pb2F9

A relaxed structure of Rb3Pb2F9 (GGA-PBE, Alexandria via LeMat-Bulk).

```
Rb3Pb2F9
1.0
-4.972 1.449 -3.994
4.078 -4.890 -1.495
-4.861 -5.315 4.123
F Rb Pb
9 3 2
Direct
0.823 0.645 0.315
0.177 0.823 0.685
0.645 0.823 0.685
0.823 0.177 0.315
0.000 0.500 0.000
0.500 0.500 0.000
0.177 0.355 0.685
0.355 0.177 0.315
0.500 0.000 0.000
0.000 0.000 0.000
0.667 0.333 0.619
0.333 0.667 0.381
0.667 0.333 0.164
0.333 0.667 0.836
```

The total energy is -4.3214 eV per atom. As for the total magnetic moment: 0.000 μB/f.u.

Record 18
# RbPbF3

A relaxed structure of RbPbF3 (GGA-PBE, Alexandria via LeMat-Bulk).

```
RbPbF3
1.0
4.922 0.000 0.000
0.000 4.922 0.000
0.000 0.000 4.922
Pb Rb F
1 1 3
Direct
0.500 0.500 0.500
0.000 0.000 0.000
0.000 0.000 0.500
0.000 0.500 0.000
0.500 0.000 0.000
```

The total energy is -3.6903 eV per atom. As for the total magnetic moment: 0.000 μB/f.u.

Record 19
# RbPbF3

A relaxed structure of RbPbF3 (GGA-PBE, Alexandria via LeMat-Bulk).

```
RbPbF3
1.0
6.474 0.000 0.000
0.000 7.073 -0.286
-3.237 -2.909 5.533
Pb Rb F
2 2 6
Direct
0.147 0.960 0.295
0.853 0.040 0.705
0.667 0.407 0.334
0.333 0.593 0.666
0.963 0.773 0.433
0.529 0.227 0.567
0.915 0.759 0.830
0.085 0.241 0.170
0.471 0.773 0.433
0.037 0.227 0.567
```

The total energy is -4.5261 eV per atom. As for the total magnetic moment: 0.000 μB/f.u.

Record 20
# RbPbF3

A relaxed structure of RbPbF3 (GGA-PBE, Alexandria via LeMat-Bulk).

```
RbPbF3
1.0
4.760 -0.003 -0.044
0.004 4.758 -0.027
0.347 0.169 19.766
Pb F Rb
4 12 4
Direct
0.742 0.225 0.930
0.255 0.730 0.570
0.258 0.775 0.070
0.745 0.270 0.430
0.750 0.270 0.316
0.243 0.220 0.908
0.246 0.275 0.408
0.250 0.730 0.684
0.757 0.780 0.092
0.754 0.725 0.592
0.746 0.228 0.816
0.257 0.230 0.592
0.741 0.726 0.908
0.743 0.770 0.408
0.254 0.772 0.184
0.259 0.274 0.092
0.245 0.722 0.823
0.755 0.278 0.177
0.753 0.225 0.677
0.247 0.775 0.323
```

The total energy is -4.5778 eV per atom. As for the total magnetic moment: 0.000 μB/f.u.

Number 1: calculated volume 107 Å³/cell, formation energy (no corrections) 0.667 eV per atom, density 12.2 g/cm3. Number 2: calculated volume 126 Å³/cell, formation energy (no corrections) -0.805 eV per atom, density 12.6 g/cm3. Number 3: calculated volume 297 Å³/cell, formation energy (no corrections) -3.022 eV per atom, density 6.1 g/cm3. Number 4: calculated volume 75 Å³/cell, formation energy (no corrections) -1.489 eV per atom, density 10.4 g/cm3. Number 5: calculated volume 71 Å³/cell, formation energy (no corrections) -1.366 eV per atom, density 11.0 g/cm3. Number 6: calculated volume 162 Å³/cell, formation energy (no corrections) -3.257 eV per atom, density 8.7 g/cm3. Number 7: calculated volume 173 Å³/cell, formation energy (no corrections) -3.161 eV per atom, density 8.1 g/cm3. Number 8: calculated volume 521 Å³/cell, formation energy (no corrections) -3.110 eV per atom, density 5.8 g/cm3. Number 9: calculated volume 243 Å³/cell, formation energy (no corrections) -2.843 eV per atom, density 7.2 g/cm3. Number 10: calculated volume 388 Å³/cell, formation energy (no corrections) -2.921 eV per atom, density 5.6 g/cm3. Number 11: calculated volume 241 Å³/cell, formation energy (no corrections) -2.310 eV per atom, density 4.4 g/cm3. Number 12: calculated volume 451 Å³/cell, formation energy (no corrections) -2.288 eV per atom, density 3.5 g/cm3. Number 13: calculated volume 424 Å³/cell, formation energy (no corrections) -2.456 eV per atom, density 5.1 g/cm3. Number 14: calculated volume 340 Å³/cell, formation energy (no corrections) -2.578 eV per atom, density 4.3 g/cm3. Number 15: calculated volume 171 Å³/cell, formation energy (no corrections) -1.615 eV per atom, density 6.1 g/cm3. Number 16: calculated volume 472 Å³/cell, formation energy (no corrections) -2.230 eV per atom, density 4.3 g/cm3. Number 17: calculated volume 307 Å³/cell, formation energy (no corrections) -2.381 eV per atom, density 4.5 g/cm3. Number 18: calculated volume 119 Å³/cell, formation energy (no corrections) -1.632 eV per atom, density 4.9 g/cm3. Number 19: calculated volume 248 Å³/cell, formation energy (no corrections) -2.468 eV per atom, density 4.7 g/cm3. Number 20: calculated volume 448 Å³/cell, formation energy (no corrections) -2.520 eV per atom, density 5.2 g/cm3.